[1]
{
  "formula": "TaRh2Se",
  "functional": "GGA-PBE",
  "state": "relaxed",
  "dos_ef_per_ev_cell": 3.7,
  "crystal_system": "tetragonal",
  "e_tot_ev_per_cell": -59.039,
  "lattice_angstrom": [[-2.8270, 2.8270, 5.5747], [2.8270, -2.8270, 5.5747], [2.8270, 2.8270, -5.5747]],
  "species": ["Ta", "Ta", "Rh", "Rh", "Rh", "Rh", "Se", "Se"],
  "frac_coords": [[0.0000, 0.0000, 0.0000], [0.7500, 0.2500, 0.5000], [0.1337, 0.6250, 0.0087], [0.3750, 0.3837, 0.5087], [0.6163, 0.1250, 0.9913], [0.8750, 0.8663, 0.4913], [0.2500, 0.7500, 0.5000], [0.5000, 0.5000, 0.0000]]
}

[2]
{
  "formula": "Ta2RhSe",
  "functional": "GGA-PBE",
  "state": "relaxed",
  "dos_ef_per_ev_cell": 2.5,
  "crystal_system": "orthorhombic",
  "e_tot_ev_per_cell": -34.856,
  "lattice_angstrom": [[-1.8159, 2.3665, 3.9108], [1.8159, -2.3665, 3.9108], [1.8159, 2.3665, -3.9108]],
  "species": ["Ta", "Ta", "Rh", "Se"],
  "frac_coords": [[0.2379, 0.2379, 0.0000], [0.7621, 0.7621, 0.0000], [0.5000, 0.0000, 0.5000], [0.0000, 0.5000, 0.5000]]
}

[3]
{
  "formula": "Ta2RhSe",
  "functional": "GGA-PBE",
  "state": "relaxed",
  "dos_ef_per_ev_cell": 3.0,
  "crystal_system": "cubic",
  "e_tot_ev_per_cell": -33.363,
  "lattice_angstrom": [[0.0000, 3.2446, 3.2446], [3.2446, 0.0000, 3.2446], [3.2446, 3.2446, 0.0000]],
  "species": ["Ta", "Ta", "Rh", "Se"],
  "frac_coords": [[0.0000, 0.0000, 0.0000], [0.2500, 0.2500, 0.2500], [0.5000, 0.5000, 0.5000], [0.7500, 0.7500, 0.7500]]
}

[4]
{
  "formula": "TaRh3Se",
  "functional": "GGA-PBE",
  "state": "relaxed",
  "dos_ef_per_ev_cell": 4.7,
  "crystal_system": "cubic",
  "e_tot_ev_per_cell": -32.487,
  "lattice_angstrom": [[4.7416, 0.0000, 0.0000], [0.0000, 4.7416, 0.0000], [0.0000, 0.0000, 4.7416]],
  "species": ["Ta", "Rh", "Rh", "Rh", "Se"],
  "frac_coords": [[0.0000, 0.0000, 0.0000], [0.0000, 0.0000, 0.5000], [0.0000, 0.5000, 0.0000], [0.5000, 0.0000, 0.0000], [0.5000, 0.5000, 0.5000]]
}

[5]
{
  "formula": "TaRh2Se",
  "functional": "GGA-PBE",
  "state": "relaxed",
  "dos_ef_per_ev_cell": 3.8,
  "crystal_system": "tetragonal",
  "e_tot_ev_per_cell": -30.914,
  "lattice_angstrom": [[2.9501, 0.0000, 0.0000], [0.0000, 2.9501, 0.0000], [0.0000, 0.0000, 7.3664]],
  "species": ["Ta", "Rh", "Rh", "Se"],
  "frac_coords": [[0.0000, 0.0000, 0.0000], [0.5000, 0.5000, 0.2476], [0.5000, 0.5000, 0.7524], [0.0000, 0.0000, 0.5000]]
}

[6]
{
  "formula": "Ta2RhSe",
  "functional": "GGA-PBE",
  "state": "relaxed",
  "dos_ef_per_ev_cell": 2.1,
  "crystal_system": "monoclinic",
  "e_tot_ev_per_cell": -35.471,
  "lattice_angstrom": [[4.6780, -1.5468, 0.0000], [4.6780, 1.5468, 0.0000], [-1.1823, 0.0000, 4.6357]],
  "species": ["Ta", "Ta", "Rh", "Se"],
  "frac_coords": [[0.0000, 0.0000, 0.0000], [0.2210, 0.2210, 0.6151], [0.7395, 0.7395, 0.1318], [0.4865, 0.4865, 0.4966]]
}